A plane-wave DFT calculation with meta-GGA SCAN was carried out for a PBEsol-optimized structure of FeRuNO2.

Values from the calculation:
Formation energy without anion corrections: -0.0048 eV/atom
Volume: 10.91 Å³/atom
E_tot: -14.95 eV per atom

abc: 3.714 3.833 3.833
angles: 90.00 90.00 90.00
Fractional positions:
Ru: 0.000 0.000 0.000
N: 0.500 0.000 0.000
O: 0.000 0.500 0.000
O: 0.000 0.000 0.500
Fe: 0.500 0.500 0.500